DFT (PBE-GGA) results for a relaxed structure of K3Al2Au3. Values from VASP.

The structure in Quantum ESPRESSO input format:
```
&SYSTEM
  ibrav = 0, nat = 16, ntyp = 3
/
ATOMIC_SPECIES
K 39.10 K.upf
Al 26.98 Al.upf
Au 196.97 Au.upf
ATOMIC_POSITIONS angstrom
K 2.3495 5.4795 9.4496
K 2.3495 5.4795 13.8806
K 2.3495 1.3593 11.6651
K 2.3495 -1.3593 3.8884
K 2.3495 -5.4795 1.6729
K 2.3495 -5.4795 6.1039
Al 2.3495 3.5843 1.4347
Al 2.3495 3.5843 6.3421
Al 2.3495 -3.5843 9.2114
Al 2.3495 -3.5843 14.1188
Au 2.3495 2.6816 3.8884
Au 2.3495 2.0498 8.4733
Au 2.3495 2.0498 14.8570
Au 2.3495 -2.0498 0.6965
Au 2.3495 -2.0498 7.0802
Au 2.3495 -2.6816 11.6651
CELL_PARAMETERS angstrom
2.3495 -6.3951 0.0000
2.3495 6.3951 0.0000
0.0000 0.0000 15.5535
```

Computed properties:
ΔE_f (meV/atom): -282
VASP energy (eV/atom): -2.86
V (Å³/cell): 467.4

***

DFT (PBE-GGA) results for a relaxed structure of K2AlAu3. Values from VASP.

The structure in Quantum ESPRESSO input format:
```
&SYSTEM
  ibrav = 0, nat = 6, ntyp = 3
/
ATOMIC_SPECIES
K 39.10 K.upf
Al 26.98 Al.upf
Au 196.97 Au.upf
ATOMIC_POSITIONS angstrom
K 0.0000 0.0000 2.6529
K 0.0000 0.0000 11.1441
Al 0.0000 0.0000 6.8985
Au 2.1579 0.0000 0.0000
Au 2.1579 0.0000 5.4523
Au 0.0000 2.8524 1.4462
CELL_PARAMETERS angstrom
-2.1579 2.8524 6.8985
2.1579 -2.8524 6.8985
2.1579 2.8524 -6.8985
```

Computed properties:
ΔE_f (meV/atom): -166
VASP energy (eV/atom): -2.79
V (Å³/cell): 169.9

***

DFT (PBE-GGA) results for a relaxed structure of KAlAu3. Values from VASP.

The structure in Quantum ESPRESSO input format:
```
&SYSTEM
  ibrav = 0, nat = 10, ntyp = 3
/
ATOMIC_SPECIES
K 39.10 K.upf
Al 26.98 Al.upf
Au 196.97 Au.upf
ATOMIC_POSITIONS angstrom
K 0.0625 1.6979 1.3628
K 5.5632 8.5289 4.7879
Al 1.9098 5.1111 4.4112
Al 3.7159 5.1157 1.7395
Au 0.9167 5.1065 1.8176
Au 2.8148 7.1665 3.0717
Au 2.6815 0.0000 0.0000
Au 2.6919 3.4192 0.0000
Au 2.8109 3.0603 3.0790
Au 4.7089 5.1203 4.3331
CELL_PARAMETERS angstrom
5.3630 0.0000 0.0000
0.0209 6.8383 0.0000
0.2418 3.3885 6.1507
```

Computed properties:
Relative energy among the computed polymorphs (eV/f.u.): 0.00
ΔE_f (meV/atom): -301
VASP energy (eV/atom): -3.24
V (Å³/cell): 225.6